Pu3RhPb: optimized geometry, PBE.

Geometry as extended XYZ:
```
5
Lattice="5.320 0.000 0.000 0.000 5.320 0.000 0.000 0.000 5.320" Properties=species:S:1:pos:R:3 pbc="T T T"
Pu 2.660 0.000 0.000
Pu 0.000 2.660 0.000
Rh 0.000 0.000 0.000
Pu 0.000 0.000 2.660
Pb 2.660 2.660 2.660
```

Output
The energy above the most stable polymorph in this dataset comes out at 0.080 eV per atom. The space group is Pm-3m (221). The calculation puts the density of states at the Fermi level at 26.930 states/eV per cell. As for the energy: -10.834 eV per atom. The calculated density is 11.490 g/cm3. For the energy of formation, the calculation gives -0.02 eV per atom.